Density functional theory data (PBE) for a relaxed structure of LuInRuPt.

a b c (Å): 4.6745 4.6745 4.6745
angles (deg): 60.00 60.00 60.00
With the nearest neighbours (Å) after each atom.
Atoms (fractional coordinates):
Pt (0.7500, 0.7500, 0.7500)  4 In 2.86, 4 Lu 2.86
Lu (0.0000, 0.0000, 0.0000)  4 Pt 2.86, 4 Ru 2.86
Ru (0.2500, 0.2500, 0.2500)  4 Lu 2.86, 4 In 2.86
In (0.5000, 0.5000, 0.5000)  4 Ru 2.86, 4 Pt 2.86

Density functional theory data (PBE) for a relaxed structure of TbLuInPt.

a b c (Å): 5.0903 5.0903 5.0903
angles (deg): 60.00 60.00 60.00
With the nearest neighbours (Å) after each atom.
Atoms (fractional coordinates):
Lu (0.5000, 0.5000, 0.5000)  4 Pt 3.12, 4 In 3.12
In (0.2500, 0.2500, 0.2500)  4 Lu 3.12, 4 Tb 3.12
Tb (0.0000, 0.0000, 0.0000)  4 In 3.12, 4 Pt 3.12
Pt (0.7500, 0.7500, 0.7500)  4 Tb 3.12, 4 Lu 3.12

Density functional theory data (PBE) for a relaxed structure of TmLuInPt.

a b c (Å): 5.0459 5.0459 5.0459
angles (deg): 60.00 60.00 60.00
With the nearest neighbours (Å) after each atom.
Atoms (fractional coordinates):
Tm (0.5000, 0.5000, 0.5000)  4 In 3.09, 4 Pt 3.09
Lu (0.0000, 0.0000, 0.0000)  4 Pt 3.09, 4 In 3.09
In (0.2500, 0.2500, 0.2500)  4 Lu 3.09, 4 Tm 3.09
Pt (0.7500, 0.7500, 0.7500)  4 Tm 3.09, 4 Lu 3.09

Density functional theory data (PBE) for a relaxed structure of YLuInPt.

a b c (Å): 5.0836 5.0836 5.0836
angles (deg): 60.00 60.00 60.00
With the nearest neighbours (Å) after each atom.
Atoms (fractional coordinates):
Y (0.7500, 0.7500, 0.7500)  4 In 3.11, 4 Pt 3.11
Lu (0.2500, 0.2500, 0.2500)  4 Pt 3.11, 4 In 3.11
In (0.0000, 0.0000, 0.0000)  4 Lu 3.11, 4 Y 3.11
Pt (0.5000, 0.5000, 0.5000)  4 Y 3.11, 4 Lu 3.11

Density functional theory data (PBE) for a relaxed structure of LuPuIn4.

a b c (Å): 6.0062 6.0062 6.0062
angles (deg): 60.00 60.00 60.00
With the nearest neighbours (Å) after each atom.
Atoms (fractional coordinates):
In (0.6250, 0.6250, 0.6250)  6 In 3.00
In (0.6250, 0.6250, 0.1250)  6 In 3.00
In (0.1250, 0.6250, 0.6250)  6 In 3.00
In (0.6250, 0.1250, 0.6250)  6 In 3.00
Lu (0.0000, 0.0000, 0.0000)  12 In 3.52, 4 Pu 3.68
Pu (0.2500, 0.2500, 0.2500)  12 In 3.52, 4 Lu 3.68

Density functional theory data (PBE) for a relaxed structure of LuPu2In.

a b c (Å): 5.1022 4.5107 4.5107
angles (deg): 90.00 90.00 90.00
With the nearest neighbours (Å) after each atom.
Atoms (fractional coordinates):
Pu (0.0000, 0.5000, 0.0000)  4 Pu 3.19, 4 Lu 3.41, 4 In 3.41
Pu (0.0000, 0.0000, 0.5000)  4 Pu 3.19, 4 In 3.41, 4 Lu 3.41
Lu (0.5000, 0.0000, 0.0000)  4 In 3.19, 8 Pu 3.41
In (0.5000, 0.5000, 0.5000)  4 Lu 3.19, 8 Pu 3.41

| no. | formation energy (kJ/mol of formula units) | total magnetic moment (μB/cell) |
| --- | --- | --- |
| 1 | -246 | 0.0 |
| 2 | -293 | 0.0 |
| 3 | -301 | 0.0 |
| 4 | -297 | 0.0 |
| 5 | -84 | 6.7 |
| 6 | -45 | 11.9 |